Here is BeZnHgH2 at its PBEsol-relaxed geometry from the Alexandria database. Energies are from SCAN.

POSCAR file:
```
BeZnHgH2
1.0
-1.880 -2.664 0.895
2.661 -1.341 1.598
-1.537 2.707 4.831
Be Zn Hg H
1 1 1 2
Direct
0.500 0.500 0.500
0.000 0.000 0.000
0.000 0.000 0.500
0.000 0.500 0.000
0.500 0.000 0.000
```

=====

Here is Be2HI at its PBEsol-relaxed geometry from the Alexandria database. Energies are from SCAN.

POSCAR file:
```
Be2HI
1.0
4.315 0.000 0.000
2.157 3.737 0.000
2.157 1.246 3.523
I Be H
1 2 1
Direct
0.500 0.500 0.500
0.250 0.250 0.250
0.750 0.750 0.750
0.000 0.000 0.000
```

=====

Here is BeIn2HI at its PBEsol-relaxed geometry from the Alexandria database. Energies are from SCAN.

POSCAR file:
```
BeIn2HI
1.0
3.435 0.000 0.000
0.000 5.668 0.000
0.000 0.000 5.668
I Be H In
1 1 1 2
Direct
0.500 0.500 0.500
0.500 0.000 0.000
0.000 0.000 0.000
0.000 0.000 0.500
0.000 0.500 0.000
```

=====

Here is BeH8I2O10 at its PBEsol-relaxed geometry from the Alexandria database. Energies are from SCAN.

POSCAR file:
```
BeH8I2O10
1.0
-0.176 -0.514 -6.316
8.494 -1.587 -0.108
-2.830 -15.239 1.319
Be H I O
4 32 8 40
Direct
0.250 0.836 0.250
0.750 0.664 0.750
0.750 0.164 0.750
0.250 0.336 0.250
0.967 0.995 0.292
0.533 0.995 0.208
0.033 0.505 0.792
0.467 0.505 0.708
0.033 0.005 0.708
0.467 0.005 0.792
0.967 0.495 0.208
0.533 0.495 0.292
0.990 0.969 0.186
0.510 0.969 0.314
0.010 0.531 0.686
0.490 0.531 0.814
0.010 0.031 0.814
0.490 0.031 0.686
0.990 0.469 0.314
0.510 0.469 0.186
0.136 0.177 0.135
0.364 0.177 0.365
0.864 0.323 0.635
0.636 0.323 0.865
0.864 0.823 0.865
0.636 0.823 0.635
0.136 0.677 0.365
0.364 0.677 0.135
0.393 0.197 0.142
0.107 0.197 0.358
0.607 0.303 0.642
0.893 0.303 0.858
0.607 0.803 0.858
0.893 0.803 0.642
0.393 0.697 0.358
0.107 0.697 0.142
0.738 0.073 0.037
0.762 0.073 0.463
0.262 0.427 0.537
0.238 0.427 0.963
0.262 0.927 0.963
0.238 0.927 0.537
0.738 0.573 0.463
0.762 0.573 0.037
0.608 0.122 0.138
0.892 0.122 0.362
0.392 0.378 0.638
0.108 0.378 0.862
0.392 0.878 0.862
0.108 0.878 0.638
0.608 0.622 0.362
0.892 0.622 0.138
0.996 0.031 0.089
0.504 0.031 0.411
0.004 0.469 0.589
0.496 0.469 0.911
0.004 0.969 0.911
0.496 0.969 0.589
0.996 0.531 0.411
0.504 0.531 0.089
0.635 0.875 0.026
0.865 0.875 0.474
0.365 0.625 0.526
0.135 0.625 0.974
0.365 0.125 0.974
0.135 0.125 0.526
0.635 0.375 0.474
0.865 0.375 0.026
0.029 0.928 0.245
0.471 0.928 0.255
0.971 0.572 0.745
0.529 0.572 0.755
0.971 0.072 0.755
0.529 0.072 0.745
0.029 0.428 0.255
0.471 0.428 0.245
0.250 0.245 0.158
0.250 0.245 0.342
0.750 0.255 0.658
0.750 0.255 0.842
0.750 0.755 0.842
0.750 0.755 0.658
0.250 0.745 0.342
0.250 0.745 0.158
```

=====

Here is BeSb2HI at its PBEsol-relaxed geometry from the Alexandria database. Energies are from SCAN.

POSCAR file:
```
BeSb2HI
1.0
4.175 0.000 0.000
0.000 4.175 0.000
0.000 0.000 6.643
I Sb Be H
1 2 1 1
Direct
0.000 0.000 0.500
0.000 0.500 0.000
0.500 0.000 0.000
0.500 0.500 0.500
0.000 0.000 0.000
```

=====

Here is BeIn2H at its PBEsol-relaxed geometry from the Alexandria database. Energies are from SCAN.

POSCAR file:
```
BeIn2H
1.0
4.426 0.000 0.000
2.213 3.833 0.000
2.213 1.278 3.614
Be H In
1 1 2
Direct
0.500 0.500 0.500
0.000 0.000 0.000
0.250 0.250 0.250
0.750 0.750 0.750
```

=====

Here is Be3InH at its PBEsol-relaxed geometry from the Alexandria database. Energies are from SCAN.

POSCAR file:
```
Be3InH
1.0
3.727 0.000 0.000
0.000 3.727 0.000
0.000 0.000 3.727
Be H In
3 1 1
Direct
0.000 0.500 0.000
0.000 0.000 0.500
0.500 0.000 0.000
0.000 0.000 0.000
0.500 0.500 0.500
```

=====

Here is Be2HIr at its PBEsol-relaxed geometry from the Alexandria database. Energies are from SCAN.

POSCAR file:
```
Be2HIr
1.0
-2.880 2.030 -1.232
-1.329 -0.544 -3.445
-3.339 -1.597 -0.482
Be Ir H
2 1 1
Direct
0.250 0.250 0.250
0.750 0.750 0.750
0.500 0.500 0.500
0.000 0.000 0.000
```

=====

In order of appearance, Fermi-level density of states = 0.195; 0.368; 0.354; 0.000; 0.601; 0.436; 0.283; 0.253 states/eV/atom.
In order of appearance, DFT total energy = -18.149; -10.850; -21.747; -9.004; -22.951; -18.036; -9.437; -20.540 eV/atom.